[1]
MgBeNi2Cl | GGA-PBE | relaxed

abc: 4.1708 4.6860 4.1708
angles: 90.00 90.00 90.00
Last column: nearest neighbours and their distance in Å.
Sites, in units of the cell vectors:
Ni 0.0000 0.0000 0.5000  2 Cl 2.09
Ni 0.5000 0.0000 0.0000  2 Cl 2.09
Cl 0.0000 0.0000 0.0000  4 Ni 2.09
Be 0.5000 0.5000 0.5000  4 Mg 2.95, 8 Ni 3.14
Mg 0.0000 0.5000 0.0000  2 Cl 2.34

E_form (uncorrected) = 0.697 eV per atom
total moment = 0.0000 μB per atom



[2]
MgBeNi2Cl | GGA-PBE | relaxed

abc: 3.9953 4.7653 3.9953
angles: 90.00 90.00 90.00
Last column: nearest neighbours and their distance in Å.
Sites, in units of the cell vectors:
Ni 0.0000 0.0000 0.5000  2 Be 2.00
Ni 0.5000 0.0000 0.0000  2 Be 2.00
Be 0.0000 0.0000 0.0000  4 Ni 2.00
Cl 0.0000 0.5000 0.0000  2 Be 2.38
Mg 0.5000 0.5000 0.5000  4 Cl 2.83, 8 Ni 3.11

E_form (uncorrected) = 0.286 eV per atom
total moment = 0.0000 μB per atom



[3]
MgBe2PtCl | GGA-PBE | relaxed

abc: 4.1669 6.4671 4.1669
angles: 90.00 90.00 90.00
Last column: nearest neighbours and their distance in Å.
Sites, in units of the cell vectors:
Be 0.0000 0.0000 0.5000  2 Pt 2.08
Be 0.5000 0.0000 0.0000  2 Pt 2.08
Cl 0.0000 0.5000 0.0000  4 Mg 2.95, 2 Pt 3.23
Mg 0.5000 0.5000 0.5000  4 Cl 2.95
Pt 0.0000 0.0000 0.0000  4 Be 2.08

E_form (uncorrected) = 0.202 eV per atom
total moment = 0.0000 μB per atom



[4]
Rb2MgBeCl6 | GGA-PBE | relaxed

abc: 6.8214 6.8214 7.1776
angles: 61.63 61.63 90.00
Last column: nearest neighbours and their distance in Å.
Sites, in units of the cell vectors:
Mg 0.0000 0.0000 0.0000  6 Cl 2.41-2.63
Be 0.5000 0.5000 0.0000  4 Cl 2.19
Cl 0.2264 0.2264 0.5471  1 Mg 2.41
Cl 0.7269 0.7269 0.0000  1 Be 2.19
Cl 0.7269 0.2731 0.0000  1 Be 2.19
Cl 0.2731 0.2731 0.0000  1 Be 2.19
Cl 0.2731 0.7269 0.0000  1 Be 2.19
Cl 0.7736 0.7736 0.4529  1 Mg 2.41
Rb 0.7500 0.2500 0.5000  12 Cl 3.42-3.60
Rb 0.2500 0.7500 0.5000  12 Cl 3.42-3.60

E_form (uncorrected) = -1.635 eV per atom
total moment = 0.0000 μB per atom



[5]
RbMgBe2Cl8 | GGA-PBE | relaxed

abc: 6.1477 6.1477 9.7959
angles: 71.71 71.71 60.00
Last column: nearest neighbours and their distance in Å.
Sites, in units of the cell vectors:
Mg 0.0000 0.0000 0.0000  6 Cl 2.54
Cl 0.9671 0.6002 0.1613  1 Be 2.03
Cl 0.3998 0.7286 0.8387  1 Be 2.03
Cl 0.2714 0.9671 0.1613  1 Be 2.03
Cl 0.6002 0.2714 0.1613  1 Be 2.03
Cl 0.0329 0.3998 0.8387  1 Be 2.03
Cl 0.7286 0.0329 0.8387  1 Be 2.03
Cl 0.1844 0.1844 0.4469  1 Be 2.02
Cl 0.8156 0.8156 0.5531  1 Be 2.02
Rb 0.5000 0.5000 0.5000  12 Cl 3.58-3.76
Be 0.2581 0.2581 0.2256  4 Cl 2.02-2.03
Be 0.7419 0.7419 0.7744  4 Cl 2.02-2.03

E_form (uncorrected) = -1.426 eV per atom
total moment = 0.0986 μB per atom



[6]
MgBeSCl2 | GGA-PBE | relaxed

abc: 4.2236 4.2236 5.2069
angles: 90.00 90.00 90.00
Last column: nearest neighbours and their distance in Å.
Sites, in units of the cell vectors:
Cl 0.0000 0.5000 0.0000  2 Be 2.11
Cl 0.5000 0.0000 0.0000  2 Be 2.11
S 0.0000 0.0000 0.5000  2 Be 2.60
Mg 0.5000 0.5000 0.5000  4 S 2.99
Be 0.0000 0.0000 0.0000  4 Cl 2.11

E_form (uncorrected) = -0.708 eV per atom
total moment = 0.0000 μB per atom